The following is a DFT calculation (PBE) of an optimized crystal structure of LaTaRh3.

Calculated values
The calculated formation energy comes out at 1397 meV/atom. For the energy above the most stable polymorph in this dataset, the calculation gives 1.428 eV per atom. The magnetic moment comes out at 0.00 μB/f.u. Its space group is No. 221.

Cell: 4.817 4.817 4.817 Å, 90.00 90.00 90.00°
Sites, in units of the cell vectors:
1 La 0.000 0.000 0.000
2 Rh 0.000 0.500 0.000
3 Rh 0.000 0.000 0.500
4 Rh 0.500 0.000 0.000
5 Ta 0.500 0.500 0.500

=====

The following is a DFT calculation (PBE) of an optimized crystal structure of KErAgO2.

Calculated values
The magnetic moment comes out at 0.00 μB/f.u. Its space group is No. 13. The value obtained for the uncorrected formation energy is -1.7046 eV/atom.

Cell: 5.591 6.694 6.413 Å, 94.76 90.00 90.00°
Sites, in units of the cell vectors:
1 K 0.317 0.500 0.750
2 K 0.683 0.500 0.250
3 Er 0.482 0.000 0.250
4 Er 0.518 0.000 0.750
5 Ag 0.000 0.000 0.000
6 Ag 0.000 0.000 0.500
7 O 0.612 0.801 0.991
8 O 0.612 0.199 0.509
9 O 0.388 0.801 0.491
10 O 0.388 0.199 0.009

=====

The following is a DFT calculation (PBE) of an optimized crystal structure of BaSrBr2.

Calculated values
For the energy above the most stable polymorph in this dataset, the calculation gives 0.057 eV per atom. The magnetic moment comes out at 0.00 μB/f.u. Its space group is No. 12. The value obtained for the uncorrected formation energy is -1.4434 eV/atom.

Cell: 5.084 5.084 7.482 Å, 75.72 75.72 49.95°
Sites, in units of the cell vectors:
1 Sr 0.750 0.750 0.750
2 Ba 0.250 0.250 0.250
3 Br 0.007 0.007 0.975
4 Br 0.493 0.493 0.525